(1)
# PrGe3 | the Alexandria database | PBE-GGA | relaxed
# - Calculated formation energy: -0.1694 eV/atom
# - Energy: -4.8273 eV per atom
# - Space group: I4/mmm, No. 139
data_PrGe3
_chemical_formula_sum 'Pr2 Ge6'
_symmetry_space_group_name_H-M 'P 1'
_symmetry_Int_Tables_number 1
_symmetry_space_group_name_Hall 'P 1'
_cell_length_a 4.206
_cell_length_b 4.206
_cell_length_c 11.261
_cell_angle_alpha 90.00
_cell_angle_beta 90.00
_cell_angle_gamma 90.00
loop_
_atom_site_label
_atom_site_fract_x
_atom_site_fract_y
_atom_site_fract_z
Pr1 0.000 0.000 0.000
Pr2 0.500 0.500 0.500
Ge1 0.000 0.000 0.281
Ge2 0.000 0.000 0.500
Ge3 0.000 0.000 0.719
Ge4 0.500 0.500 0.000
Ge5 0.500 0.500 0.219
Ge6 0.500 0.500 0.781



(2)
# PrGe6 | the Alexandria database | PBE-GGA | relaxed
# - Calculated formation energy: 0.1688 eV/atom
# - Energy: -4.4718 eV per atom
# - Space group: Im-3m, No. 229
data_PrGe6
_chemical_formula_sum 'Pr2 Ge12'
_symmetry_space_group_name_H-M 'P 1'
_symmetry_Int_Tables_number 1
_symmetry_space_group_name_Hall 'P 1'
_cell_length_a 7.061
_cell_length_b 7.061
_cell_length_c 7.061
_cell_angle_alpha 90.00
_cell_angle_beta 90.00
_cell_angle_gamma 90.00
loop_
_atom_site_label
_atom_site_fract_x
_atom_site_fract_y
_atom_site_fract_z
Pr1 0.000 0.000 0.000
Pr2 0.500 0.500 0.500
Ge1 0.000 0.250 0.500
Ge2 0.000 0.500 0.250
Ge3 0.000 0.500 0.750
Ge4 0.000 0.750 0.500
Ge5 0.250 0.000 0.500
Ge6 0.250 0.500 0.000
Ge7 0.500 0.000 0.250
Ge8 0.500 0.000 0.750
Ge9 0.500 0.250 0.000
Ge10 0.500 0.750 0.000
Ge11 0.750 0.000 0.500
Ge12 0.750 0.500 0.000



(3)
# PrGe | the Alexandria database | PBE-GGA | relaxed
# - Calculated formation energy: -0.8360 eV/atom
# - Energy: -5.5345 eV per atom
# - Space group: Cmcm, No. 63
data_PrGe
_chemical_formula_sum 'Pr4 Ge4'
_symmetry_space_group_name_H-M 'P 1'
_symmetry_Int_Tables_number 1
_symmetry_space_group_name_Hall 'P 1'
_cell_length_a 4.523
_cell_length_b 11.212
_cell_length_c 4.098
_cell_angle_alpha 90.00
_cell_angle_beta 90.00
_cell_angle_gamma 90.00
loop_
_atom_site_label
_atom_site_fract_x
_atom_site_fract_y
_atom_site_fract_z
Pr1 0.000 0.139 0.250
Pr2 0.000 0.861 0.750
Pr3 0.500 0.361 0.750
Pr4 0.500 0.639 0.250
Ge1 0.000 0.420 0.250
Ge2 0.000 0.580 0.750
Ge3 0.500 0.080 0.750
Ge4 0.500 0.920 0.250



(4)
# Pr2Ge7 | the Alexandria database | PBE-GGA | relaxed
# - Calculated formation energy: -0.2790 eV/atom
# - Energy: -4.9324 eV per atom
# - Space group: Amm2, No. 38
data_Pr2Ge7
_chemical_formula_sum 'Pr2 Ge7'
_symmetry_space_group_name_H-M 'P 1'
_symmetry_Int_Tables_number 1
_symmetry_space_group_name_Hall 'P 1'
_cell_length_a 4.286
_cell_length_b 11.911
_cell_length_c 11.911
_cell_angle_alpha 19.62
_cell_angle_beta 90.00
_cell_angle_gamma 90.00
loop_
_atom_site_label
_atom_site_fract_x
_atom_site_fract_y
_atom_site_fract_z
Pr1 0.000 0.000 0.000
Pr2 0.000 0.338 0.338
Ge1 0.000 0.627 0.627
Ge2 0.000 0.736 0.736
Ge3 0.500 0.132 0.132
Ge4 0.500 0.241 0.241
Ge5 0.500 0.445 0.445
Ge6 0.500 0.559 0.559
Ge7 0.500 0.877 0.877